(1)
Below is a relaxed structure of Nd2Si2PbSe8, with properties calculated at the PBE level.

Values from the calculation:
Raw formation energy: -1040 meV/atom
Space-group type: Cc
Raw total energy: -5.038 eV/atom
Crystal system: monoclinic

a = 9.3933 Å, b = 9.3933 Å, c = 10.6740 Å
α = 65.50°, β = 65.50°, γ = 60.87°
Fractional positions:
Pb: 0.7445 0.5839 0.7597
Pb: 0.5839 0.7445 0.2597
Nd: 0.4423 0.2459 0.7507
Nd: 0.9430 0.0563 0.2437
Nd: 0.0563 0.9430 0.7437
Nd: 0.2459 0.4423 0.2507
Se: 0.0995 0.5818 0.7656
Se: 0.5198 0.6175 0.0816
Se: 0.2628 0.0836 0.0466
Se: 0.7916 0.0863 0.5566
Se: 0.4212 0.4018 0.9521
Se: 0.5818 0.0995 0.2656
Se: 0.9618 0.7044 0.4300
Se: 0.7044 0.9618 0.9300
Se: 0.0863 0.7916 0.0566
Se: 0.4018 0.4212 0.4521
Se: 0.4028 0.9329 0.7334
Se: 0.9329 0.4028 0.2334
Se: 0.8898 0.2268 0.9305
Se: 0.6175 0.5198 0.5816
Se: 0.0836 0.2628 0.5466
Se: 0.2268 0.8898 0.4305
Si: 0.8558 0.3226 0.4787
Si: 0.1727 0.6484 0.5208
Si: 0.6484 0.1727 0.0208
Si: 0.3226 0.8558 0.9787


(2)
Below is a relaxed structure of MgSc2PdO, with properties calculated at the PBE level.

Values from the calculation:
Raw formation energy: -1435 meV/atom
Space-group type: P4/mmm
Raw total energy: -6.316 eV/atom
Crystal system: tetragonal

a = 4.3861 Å, b = 4.3861 Å, c = 4.1607 Å
α = 90.00°, β = 90.00°, γ = 90.00°
Fractional positions:
Sc: 0.0000 0.5000 0.0000
Sc: 0.5000 0.0000 0.0000
Pd: 0.5000 0.5000 0.5000
O: 0.0000 0.0000 0.0000
Mg: 0.0000 0.0000 0.5000